(1)
## LiAc4Zn5 (PBE-GGA)

Data for an optimized crystal structure of LiAc4Zn5.

Structure (POSCAR):
```
LiAc4Zn5
1.0
3.855 0.000 0.000
0.000 3.855 0.000
0.000 0.000 18.591
Li Ac Zn
1 4 5
Direct
0.000 0.000 0.000
0.000 0.000 0.182
0.000 0.000 0.393
0.000 0.000 0.607
0.000 0.000 0.818
0.500 0.500 0.071
0.500 0.500 0.288
0.500 0.500 0.500
0.500 0.500 0.712
0.500 0.500 0.929
```

* formation energy: -0.1874 eV/atom
* total magnetization: 0.0 μB/f.u.
* N(E_F): 0.84 states/eV per atom

---

(2)
## CsSrSc2Al (PBE-GGA)

Data for an optimized crystal structure of CsSrSc2Al.

Structure (POSCAR):
```
CsSrSc2Al
1.0
5.416 0.000 0.000
0.000 5.416 0.000
0.000 0.000 5.923
Cs Sr Sc Al
1 1 2 1
Direct
0.000 0.000 0.000
0.500 0.500 0.500
0.000 0.500 0.000
0.500 0.000 0.000
0.000 0.000 0.500
```

* formation energy: 1.1897 eV/atom
* total magnetization: 0.0 μB/f.u.
* N(E_F): 0.93 states/eV per atom

---

(3)
## NpCd2PbO6 (PBE-GGA)

Data for an optimized crystal structure of NpCd2PbO6.

Structure (POSCAR):
```
NpCd2PbO6
1.0
2.926 1.689 5.276
-2.926 1.689 5.276
0.000 -3.378 5.276
Np Cd Pb O
1 2 1 6
Direct
0.000 0.000 0.000
0.303 0.303 0.303
0.789 0.789 0.789
0.514 0.514 0.514
0.084 0.367 0.756
0.192 0.923 0.634
0.367 0.756 0.084
0.634 0.192 0.923
0.756 0.084 0.367
0.923 0.634 0.192
```

* total magnetization: 1.0 μB/f.u.
* raw formation energy: -1.749 eV/atom

---

(4)
## GeIrAu2 (PBE-GGA)

Data for an optimized crystal structure of GeIrAu2.

Structure (POSCAR):
```
GeIrAu2
1.0
-1.896 1.896 9.942
1.896 -1.896 9.942
1.896 1.896 -9.942
Ge Ir Au
2 2 4
Direct
0.000 0.000 0.000
0.750 0.250 0.500
0.250 0.750 0.500
0.500 0.500 0.000
0.128 0.625 0.003
0.375 0.378 0.503
0.622 0.125 0.997
0.875 0.872 0.497
```

* formation energy: 0.2731 eV/atom
* total magnetization: 0.0 μB/f.u.
* N(E_F): 0.53 states/eV per atom

---

(5)
## Cd2CoBr (PBE-GGA)

Data for an optimized crystal structure of Cd2CoBr.

Structure (POSCAR):
```
Cd2CoBr
1.0
1.725 0.996 8.710
-1.725 0.996 8.710
0.000 -1.992 8.710
Cd Co Br
2 1 1
Direct
0.000 0.000 0.000
0.240 0.240 0.240
0.501 0.501 0.501
0.780 0.780 0.780
```

* offset from the most stable computed form: 4.7 kJ per mole of atoms
* total magnetization: 2.0 μB/f.u.
* N(E_F): 0.69 states/eV per atom
* raw formation energy: 0.159 eV/atom

---

(6)
## SrTaIn2 (PBE-GGA)

Data for an optimized crystal structure of SrTaIn2.

Structure (POSCAR):
```
SrTaIn2
1.0
4.879 0.000 0.000
0.000 4.879 0.000
0.000 0.000 4.206
Sr Ta In
1 1 2
Direct
0.000 0.000 0.000
0.500 0.500 0.000
0.000 0.500 0.500
0.500 0.000 0.500
```

* formation energy: 0.4333 eV/atom
* total magnetization: 0.0 μB/f.u.
* N(E_F): 0.90 states/eV per atom

---

(7)
## Cr2AsPb (PBE-GGA)

Data for an optimized crystal structure of Cr2AsPb.

Structure (POSCAR):
```
Cr2AsPb
1.0
4.727 0.000 0.000
0.000 1.698 4.893
0.000 -1.698 4.893
Cr As Pb
2 1 1
Direct
0.000 0.000 0.000
0.500 0.370 0.370
0.000 0.305 0.305
0.500 0.638 0.638
```

* offset from the most stable computed form: 23.9 kJ per mole of atoms
* formation energy: 0.4665 eV/atom
* total magnetization: 6.0 μB/f.u.
* N(E_F): 0.66 states/eV per atom

---

(8)
## SrAgB3 (PBE-GGA)

Data for an optimized crystal structure of SrAgB3.

Structure (POSCAR):
```
SrAgB3
1.0
4.953 0.000 0.000
0.000 4.953 0.000
0.000 0.000 4.953
Sr Ag B
1 1 3
Direct
0.000 0.000 0.000
0.500 0.500 0.500
0.000 0.000 0.500
0.000 0.500 0.000
0.500 0.000 0.000
```

* offset from the most stable computed form: 133.5 kJ per mole of atoms
* formation energy: 2.8594 eV/atom
* total magnetization: 0.9 μB/f.u.
* N(E_F): 1.08 states/eV per atom